DFT (PBE with a Hubbard U) results for an optimized crystal structure of FeS2F.

Results
Offset from the most stable computed form = 311 meV/atom
Volume = 83 Å³/f.u.
M_tot = 6.00 Bohr magnetons per cell
Space-group type = I-42d
Density = 2.8 Mg/m³
Raw total energy = -15.471 eV/f.u.

```
FeS2F
1.0
5.612 0.000 0.000
0.000 5.612 0.000
2.806 2.806 5.249
S Fe F
4 2 2
direct
0.659 0.125 0.250
0.091 0.625 0.250
0.375 0.341 0.750
0.875 0.909 0.750
0.000 0.000 0.000
0.750 0.250 0.500
0.500 0.500 0.000
0.250 0.750 0.500
```